[1]
Compound: Tb6SiSe12
Source: Alexandria via LeMat-Bulk
Functional: PBE
Structure: relaxed

Results
space-group type: R-3

Structure (POSCAR):
```
Tb6SiSe12
1.0
-1.128 -0.394 7.990
7.117 -3.796 -0.443
2.619 7.625 -0.514
Tb Si Se
6 1 12
Direct
0.704 0.869 0.366
0.634 0.296 0.131
0.131 0.634 0.296
0.296 0.131 0.634
0.366 0.704 0.869
0.869 0.366 0.704
0.000 0.000 0.000
0.818 0.562 0.424
0.424 0.818 0.562
0.562 0.424 0.818
0.182 0.438 0.576
0.576 0.182 0.438
0.438 0.576 0.182
0.055 0.979 0.309
0.021 0.691 0.945
0.691 0.945 0.021
0.945 0.021 0.691
0.979 0.309 0.055
0.309 0.055 0.979
```

---

[2]
Compound: Tb4SiSe3
Source: Alexandria via LeMat-Bulk
Functional: PBE
Structure: relaxed

Results
space-group type: Pm-3m

Structure (POSCAR):
```
Tb4SiSe3
1.0
-3.825 -1.219 4.195
-3.775 -1.885 -3.990
2.199 -5.355 0.449
Tb Si Se
4 1 3
Direct
0.500 0.000 0.000
0.000 0.500 0.000
0.000 0.000 0.500
0.500 0.500 0.500
0.000 0.000 0.000
0.000 0.500 0.500
0.500 0.000 0.500
0.500 0.500 0.000
```

---

[3]
Compound: TbSi2Se4
Source: Alexandria via LeMat-Bulk
Functional: PBE
Structure: relaxed

Results
space-group type: I4/m

Structure (POSCAR):
```
TbSi2Se4
1.0
6.282 0.124 0.000
-2.916 5.565 0.000
-1.683 -2.845 5.344
Tb Si Se
1 2 4
Direct
0.500 0.500 0.000
0.250 0.750 0.500
0.750 0.250 0.500
0.315 0.170 0.485
0.830 0.315 0.145
0.170 0.685 0.855
0.685 0.830 0.515
```

---

[4]
Compound: Tb3SiSe6
Source: Alexandria via LeMat-Bulk
Functional: PBE
Structure: relaxed

Results
space-group type: Cmc2_1

Structure (POSCAR):
```
Tb3SiSe6
1.0
-0.117 3.174 -6.029
-1.362 -7.820 -4.089
-8.332 2.771 1.620
Tb Si Se
6 2 12
Direct
0.484 0.914 0.721
0.984 0.721 0.914
0.387 0.404 0.596
0.887 0.596 0.404
0.984 0.086 0.279
0.484 0.279 0.086
0.028 0.203 0.797
0.528 0.797 0.203
0.185 0.696 0.628
0.685 0.628 0.696
0.200 0.433 0.901
0.700 0.901 0.433
0.163 0.042 0.958
0.670 0.216 0.784
0.170 0.784 0.216
0.663 0.958 0.042
0.200 0.099 0.567
0.700 0.567 0.099
0.185 0.372 0.304
0.685 0.304 0.372
```

---

[5]
Compound: Tb8SiSe6
Source: Alexandria via LeMat-Bulk
Functional: PBE
Structure: relaxed

Results
space-group type: P-3

Structure (POSCAR):
```
Tb8SiSe6
1.0
4.081 0.000 0.000
0.000 9.024 -5.210
0.000 0.000 10.420
Tb Si Se
8 1 6
Direct
0.744 0.970 0.273
0.744 0.727 0.697
0.744 0.303 0.030
0.256 0.030 0.727
0.256 0.273 0.303
0.256 0.697 0.970
0.748 0.333 0.667
0.252 0.667 0.333
0.500 0.000 0.000
0.750 0.650 0.129
0.750 0.871 0.521
0.750 0.479 0.350
0.250 0.350 0.871
0.250 0.129 0.479
0.250 0.521 0.650
```

---

[6]
Compound: Tb3Si5Se12
Source: Alexandria via LeMat-Bulk
Functional: PBE
Structure: relaxed

Results
space-group type: Ia-3d

Structure (POSCAR):
```
Tb3Si5Se12
1.0
-11.769 -4.542 5.274
9.894 -9.126 2.403
3.295 11.930 5.810
Tb Si Se
12 20 48
Direct
0.750 0.375 0.125
0.875 0.750 0.125
0.375 0.750 0.625
0.250 0.125 0.375
0.875 0.125 0.250
0.375 0.625 0.250
0.625 0.375 0.750
0.125 0.875 0.750
0.750 0.875 0.625
0.625 0.250 0.375
0.125 0.250 0.875
0.250 0.625 0.875
0.125 0.375 0.250
0.000 0.500 0.000
0.000 0.000 0.000
0.375 0.250 0.125
0.500 0.000 0.500
0.500 0.500 0.000
0.125 0.750 0.375
0.750 0.125 0.875
0.750 0.625 0.375
0.375 0.125 0.750
0.625 0.875 0.250
0.500 0.500 0.500
0.500 0.000 0.000
0.000 0.000 0.500
0.250 0.375 0.625
0.250 0.875 0.125
0.000 0.500 0.500
0.875 0.250 0.625
0.625 0.750 0.875
0.875 0.625 0.750
0.713 0.126 0.031
0.318 0.531 0.406
0.969 0.374 0.287
0.531 0.213 0.126
0.588 0.713 0.682
0.969 0.594 0.182
0.318 0.787 0.412
0.094 0.912 0.126
0.594 0.969 0.682
0.713 0.588 0.182
0.787 0.469 0.374
0.818 0.906 0.031
0.126 0.713 0.531
0.374 0.406 0.088
0.088 0.906 0.374
0.412 0.126 0.594
0.088 0.182 0.213
0.469 0.682 0.094
0.818 0.912 0.287
0.126 0.412 0.094
0.374 0.969 0.787
0.594 0.626 0.412
0.906 0.818 0.531
0.787 0.318 0.912
0.406 0.374 0.588
0.094 0.182 0.469
0.213 0.682 0.088
0.182 0.088 0.713
0.626 0.031 0.213
0.874 0.588 0.906
0.531 0.318 0.906
0.588 0.874 0.406
0.912 0.818 0.787
0.912 0.094 0.626
0.874 0.287 0.469
0.182 0.094 0.969
0.626 0.594 0.912
0.406 0.031 0.318
0.287 0.412 0.818
0.213 0.531 0.626
0.906 0.088 0.874
0.682 0.213 0.588
0.469 0.787 0.874
0.031 0.406 0.818
0.412 0.287 0.318
0.031 0.626 0.713
0.682 0.469 0.594
0.287 0.874 0.969
```

---

[7]
Compound: Tb5SiSe5
Source: Alexandria via LeMat-Bulk
Functional: PBE
Structure: relaxed

Results
space-group type: C2/m

Structure (POSCAR):
```
Tb5SiSe5
1.0
-3.722 3.680 -2.474
-2.946 -6.170 2.029
0.297 4.778 6.660
Tb Si Se
5 1 5
Direct
0.841 0.682 0.170
0.838 0.677 0.670
0.500 0.000 0.000
0.162 0.323 0.330
0.159 0.318 0.830
0.000 0.000 0.000
0.670 0.340 0.334
0.670 0.339 0.836
0.000 0.000 0.500
0.330 0.661 0.164
0.330 0.660 0.666
```

---

[8]
Compound: Tb4SiSe2
Source: Alexandria via LeMat-Bulk
Functional: PBE
Structure: relaxed

Results
space-group type: Cmcm

Structure (POSCAR):
```
Tb4SiSe2
1.0
4.041 0.000 0.000
-2.020 6.577 0.000
0.000 0.000 13.629
Tb Si Se
8 2 4
Direct
0.782 0.564 0.128
0.782 0.564 0.372
0.218 0.436 0.872
0.218 0.436 0.628
0.951 0.901 0.750
0.049 0.099 0.250
0.500 0.000 0.000
0.500 0.000 0.500
0.605 0.211 0.750
0.395 0.789 0.250
0.140 0.280 0.436
0.860 0.720 0.936
0.140 0.280 0.064
0.860 0.720 0.564
```

---

[9]
Compound: TbSi2Se6
Source: Alexandria via LeMat-Bulk
Functional: PBE
Structure: relaxed

Results
space-group type: C2/c

Structure (POSCAR):
```
TbSi2Se6
1.0
-6.099 0.015 2.243
0.755 -7.350 4.701
1.743 4.503 7.307
Tb Si Se
2 4 12
Direct
0.250 0.116 0.884
0.750 0.884 0.116
0.191 0.628 0.775
0.309 0.225 0.372
0.809 0.372 0.225
0.691 0.775 0.628
0.374 0.718 0.553
0.126 0.447 0.282
0.626 0.282 0.447
0.874 0.553 0.718
0.886 0.858 0.416
0.614 0.584 0.142
0.114 0.142 0.584
0.386 0.416 0.858
0.164 0.799 0.972
0.336 0.028 0.201
0.836 0.201 0.028
0.664 0.972 0.799
```

---

[10]
Compound: TbSiSe3
Source: Alexandria via LeMat-Bulk
Functional: PBE
Structure: relaxed

Results
energy relative to the lowest polymorph listed for this composition: 0.000 eV/atom
space-group type: P2_1/c

Structure (POSCAR):
```
TbSiSe3
1.0
-1.185 -6.705 -0.070
6.475 -1.105 -3.741
4.763 -0.446 8.375
Tb Si Se
4 4 12
Direct
0.956 0.626 0.250
0.544 0.126 0.250
0.044 0.374 0.750
0.456 0.874 0.750
0.421 0.602 0.065
0.079 0.102 0.435
0.579 0.398 0.935
0.921 0.898 0.565
0.151 0.675 0.570
0.349 0.175 0.930
0.849 0.325 0.430
0.651 0.825 0.070
0.849 0.026 0.770
0.651 0.526 0.730
0.151 0.974 0.230
0.349 0.474 0.270
0.652 0.808 0.433
0.848 0.308 0.067
0.348 0.192 0.567
0.152 0.692 0.933
```

---

[11]
Compound: Tb3SiSe2
Source: Alexandria via LeMat-Bulk
Functional: PBE
Structure: relaxed

Results
space-group type: Immm

Structure (POSCAR):
```
Tb3SiSe2
1.0
-1.211 -3.520 1.791
2.739 1.545 4.887
-5.921 3.782 -1.332
Tb Si Se
3 1 2
Direct
0.842 0.342 0.184
0.158 0.658 0.816
0.500 0.000 0.500
0.500 0.500 0.500
0.831 0.831 0.162
0.169 0.169 0.838
```

---

[12]
Compound: TbSiSe3
Source: Alexandria via LeMat-Bulk
Functional: PBE
Structure: relaxed

Results
energy relative to the lowest polymorph listed for this composition: 0.163 eV/atom
space-group type: Pna2_1

Structure (POSCAR):
```
TbSiSe3
1.0
-4.075 -3.695 3.635
6.187 -3.516 3.361
0.064 6.370 6.546
Tb Si Se
4 4 12
Direct
0.032 0.115 0.725
0.468 0.615 0.725
0.532 0.385 0.225
0.968 0.885 0.225
0.477 0.933 0.994
0.523 0.067 0.494
0.023 0.433 0.994
0.977 0.567 0.494
0.840 0.171 0.419
0.837 0.179 0.034
0.160 0.829 0.919
0.163 0.821 0.534
0.337 0.321 0.534
0.618 0.966 0.738
0.663 0.679 0.034
0.882 0.466 0.738
0.660 0.671 0.419
0.340 0.329 0.919
0.118 0.534 0.238
0.382 0.034 0.238
```

---

[13]
Compound: Tb6SiSe5
Source: Alexandria via LeMat-Bulk
Functional: PBE
Structure: relaxed

Results
space-group type: C2/m

Structure (POSCAR):
```
Tb6SiSe5
1.0
7.060 0.160 1.066
1.724 5.968 3.478
0.117 0.067 7.113
Si Tb Se
1 6 5
Direct
0.000 0.000 0.000
0.759 0.080 0.320
0.241 0.600 0.320
0.240 0.239 0.000
0.760 0.761 0.000
0.759 0.400 0.680
0.241 0.920 0.680
0.500 0.170 0.661
0.000 0.334 0.333
0.500 0.500 0.000
0.000 0.666 0.667
0.500 0.830 0.339
```

---

[14]
Compound: Tb8Si3Te4Se
Source: Alexandria via LeMat-Bulk
Functional: PBE
Structure: relaxed

Results
space-group type: R-3m

Structure (POSCAR):
```
Tb8Si3Te4Se
1.0
-8.337 -1.233 0.756
-0.728 -0.329 -8.575
5.417 -5.191 3.913
Tb Si Te Se
8 3 4 1
Direct
0.244 0.720 0.975
0.245 0.720 0.489
0.260 0.280 0.520
0.731 0.720 0.975
0.269 0.280 0.025
0.740 0.720 0.480
0.755 0.280 0.511
0.756 0.280 0.025
0.500 0.500 0.000
0.500 0.500 0.500
0.000 0.500 0.500
0.500 0.000 0.000
0.500 0.000 0.500
0.000 0.000 0.000
0.000 0.000 0.500
0.000 0.500 0.000
```

---

[15]
Compound: Tb8SiTe4Se3
Source: Alexandria via LeMat-Bulk
Functional: PBE
Structure: relaxed

Results
space-group type: R-3m

Structure (POSCAR):
```
Tb8SiTe4Se3
1.0
-5.352 -3.974 -5.121
-0.973 -6.221 5.844
-1.440 7.981 2.211
Tb Si Te Se
8 1 4 3
Direct
0.234 0.716 0.982
0.234 0.716 0.468
0.261 0.282 0.522
0.749 0.716 0.982
0.251 0.284 0.018
0.739 0.718 0.478
0.766 0.284 0.532
0.766 0.284 0.018
0.000 0.500 0.000
0.500 0.000 0.000
0.500 0.000 0.500
0.000 0.000 0.000
0.000 0.000 0.500
0.500 0.500 0.000
0.500 0.500 0.500
0.000 0.500 0.500
```

---

[16]
Compound: Tb8SiTe3Se4
Source: Alexandria via LeMat-Bulk
Functional: PBE
Structure: relaxed

Results
space-group type: R-3m

Structure (POSCAR):
```
Tb8SiTe3Se4
1.0
8.458 0.000 0.000
0.000 8.416 -0.036
-4.229 -4.225 5.983
Tb Si Te Se
8 1 3 4
Direct
0.239 0.757 0.017
0.240 0.757 0.479
0.239 0.217 0.478
0.778 0.757 0.017
0.222 0.243 0.983
0.761 0.783 0.522
0.760 0.243 0.521
0.761 0.243 0.983
0.000 0.500 0.000
0.500 0.500 0.000
0.500 0.500 0.500
0.000 0.500 0.500
0.500 0.000 0.000
0.500 0.000 0.500
0.000 0.000 0.000
0.000 0.000 0.500
```

---

Formation energy from raw total energies for the records above, in order: -1437 -1600 -377 -1413 -1283 -781 -1709 -1230 -660 -1122 -1530 -959 -1677 -1268 -1487 -1515 meV/atom